Entry 1:
## NaGd2Sc (GGA-PBE)

Data for an optimized crystal structure of NaGd2Sc.

```
NaGd2Sc
1.0
-2.8886 -1.8109 0.4629
-0.1733 -3.2654 -1.0698
3.1285 -5.5063 10.7675
Sc Gd Na
1 2 1
direct
0.5000 0.5000 0.5000 Sc
0.0942 0.0942 0.7174 Gd
0.9058 0.9058 0.2826 Gd
0.0000 0.0000 0.0000 Na
```

Properties
formation energy: 0.160 eV per atom
total magnetization: 3.670 μB per atom
space group: R-3m (166)
theoretical density: 5.0 g/cm³
energy above the lowest structure with this stoichiometry: 29.6 meV per atom

***

Entry 2:
## Zn3GaNi7 (GGA-PBE)

Data for an optimized crystal structure of Zn3GaNi7.

```
Zn3GaNi7
1.0
4.5398 -0.2878 -0.3686
-2.4010 5.7733 0.5904
-2.4010 -0.8268 5.7442
Zn Ni Ga
3 7 1
direct
0.5000 0.0000 0.0000 Zn
0.0000 0.7897 0.2103 Zn
0.0000 0.2103 0.7897 Zn
0.3916 0.2170 0.2170 Ni
0.3276 0.0730 0.5801 Ni
0.6724 0.9270 0.4199 Ni
0.0000 0.5000 0.5000 Ni
0.6084 0.7830 0.7830 Ni
0.6724 0.4199 0.9270 Ni
0.3276 0.5801 0.0730 Ni
0.5000 0.5000 0.5000 Ga
```

Properties
formation energy: 0.052 eV per atom
total magnetization: 0.000 μB per atom
space group: C2/m (12)
theoretical density: 7.8 g/cm³